The following is a PBE calculation of a relaxed structure of NpGe, from the Open Quantum Materials Database.

Output
- Size of the total moment: 3.364 μB/f.u.
- Space group: Fm-3m, No. 225
- VASP energy: -8.62 eV/atom

```
2
Lattice="0.000 2.914 2.914 2.914 0.000 2.914 2.914 2.914 0.000" Properties=species:S:1:pos:R:3 pbc="T T T"
Np 0.000 0.000 0.000
Ge 2.914 2.914 2.914
```